First-principles (PBE-GGA) data for a relaxed structure of TbHg3Se4Br, as listed in OQMD.

The space group is P6_3mc (No. 186) and the conventional cell measures 8.1289, 8.1289 and 8.6319 Å, with angles of 90.00, 90.00 and 120.00 degrees. The distinct sites, in fractional coordinates, are Tb at (0.0000, 0.0000, 0.0000), Hg at (0.0175, 0.5087, 0.1592), Se at (0.1429, 0.2857, 0.7430), Se at (0.3333, 0.6667, 0.9978) and Br at (0.3333, 0.6667, 0.4309).

As for the total moment: 0.00 μB per formula unit.


First-principles (PBE-GGA) data for a relaxed structure of ZnHg3Se3Br2, as listed in OQMD.

The space group is P-3 (No. 147) and the conventional cell measures 9.0124, 9.0124 and 7.5850 Å, with angles of 90.00, 90.00 and 120.00 degrees. The distinct sites, in fractional coordinates, are Zn at (0.0000, 0.0000, 0.1933), Hg at (0.0000, 0.5000, 0.0000), Hg at (0.0000, 0.5000, 0.5000), Se at (0.0607, 0.7596, 0.2285), Br at (0.3333, 0.6667, 0.3858) and Br at (0.3333, 0.6667, 0.8452).


First-principles (PBE-GGA) data for a relaxed structure of Hg2TeBr3, as listed in OQMD.

The space group is P2_1/c (No. 14) and the conventional cell measures 7.574, 10.151 and 11.806 Å, with angles of 90.00, 122.37 and 90.00 degrees. The distinct sites, in fractional coordinates, are Hg at (0.004, 0.191, 0.006), Hg at (0.479, 0.047, 0.663), Te at (0.089, 0.067, 0.624), Br at (0.241, 0.741, 0.773), Br at (0.265, 0.003, 0.011) and Br at (0.333, 0.158, 0.364).


First-principles (PBE-GGA) data for a relaxed structure of Tl2HgTeBr6, as listed in OQMD.

The space group is Fm-3m (No. 225) and the conventional cell measures 11.402, 11.402 and 11.402 Å, with angles of 90.00, 90.00 and 90.00 degrees. The distinct sites, in fractional coordinates, are Tl at (0.250, 0.250, 0.250), Hg at (0.000, 0.000, 0.000), Te at (0.000, 0.000, 0.500) and Br at (0.000, 0.000, 0.256).


First-principles (PBE-GGA) data for a relaxed structure of Tl4HgBr6, as listed in OQMD.

The space group is P4/mnc (No. 128) and the conventional cell measures 8.962, 8.962 and 8.852 Å, with angles of 90.00, 90.00 and 90.00 degrees. The distinct sites, in fractional coordinates, are Tl at (0.149, 0.351, 0.250), Hg at (0.000, 0.000, 0.000), Br at (0.000, 0.000, 0.292) and Br at (0.140, 0.681, 0.000).


First-principles (PBE-GGA) data for a relaxed structure of YTlHg2Br6, as listed in OQMD.

The space group is Fm-3m (No. 225) and the conventional cell measures 11.319, 11.319 and 11.319 Å, with angles of 90.00, 90.00 and 90.00 degrees. The distinct sites, in fractional coordinates, are Y at (0.000, 0.000, 0.000), Tl at (0.000, 0.000, 0.500), Hg at (0.250, 0.250, 0.250) and Br at (0.000, 0.000, 0.245).

As for the total moment: 0.09 μB per formula unit.


First-principles (PBE-GGA) data for a relaxed structure of HoBr3, as listed in OQMD.

The space group is P4_2/mnm (No. 136) and the conventional cell measures 6.656, 6.656 and 12.137 Å, with angles of 90.00, 90.00 and 90.00 degrees. The distinct sites, in fractional coordinates, are Ho at (0.000, 0.000, 0.170), Br at (0.200, 0.200, 0.000) and Br at (0.203, 0.203, 0.337).

As for the total moment: 0.00 μB per formula unit.


First-principles (PBE-GGA) data for a relaxed structure of HoBr3, as listed in OQMD.

The space group is R-3c (No. 167, hexagonal axes) and the conventional cell measures 6.8563, 6.8563 and 18.9837 Å, with angles of 90.00, 90.00 and 120.00 degrees. The distinct sites, in fractional coordinates, are Ho at (0.0000, 0.0000, 0.0000) and Br at (0.0000, 0.3296, 0.2500).

As for the total moment: 0.00 μB per formula unit.


First-principles (PBE-GGA) data for a relaxed structure of HoBr3, as listed in OQMD.

The space group is Pnma (No. 62) and the conventional cell measures 7.103, 10.194 and 6.406 Å, with angles of 90.00, 90.00 and 90.00 degrees. The distinct sites, in fractional coordinates, are Ho at (0.120, 0.250, 0.065), Br at (0.043, 0.750, 0.334) and Br at (0.167, 0.575, 0.819).

As for the total moment: 0.00 μB per formula unit.


First-principles (PBE-GGA) data for a relaxed structure of HoBr, as listed in OQMD.

The space group is Fm-3m (No. 225) and the conventional cell measures 5.813, 5.813 and 5.813 Å, with angles of 90.00, 90.00 and 90.00 degrees. The distinct sites, in fractional coordinates, are Ho at (0.000, 0.000, 0.000) and Br at (0.000, 0.000, 0.500).

As for the total moment: 0.00 μB per formula unit.


First-principles (PBE-GGA) data for a relaxed structure of HoBr, as listed in OQMD.

The space group is F-43m (No. 216) and the conventional cell measures 6.438, 6.438 and 6.438 Å, with angles of 90.00, 90.00 and 90.00 degrees. The distinct sites, in fractional coordinates, are Ho at (0.000, 0.000, 0.000) and Br at (0.250, 0.250, 0.250).

As for the total moment: 0.02 μB per formula unit.


First-principles (PBE-GGA) data for a relaxed structure of HoBr4, as listed in OQMD.

The space group is C2/m (No. 12) and the conventional cell measures 7.293, 12.236 and 8.898 Å, with angles of 90.00, 96.94 and 90.00 degrees. The distinct sites, in fractional coordinates, are Ho at (0.000, 0.172, 0.000), Br at (0.095, 0.000, 0.816), Br at (0.136, 0.500, 0.444) and Br at (0.162, 0.317, 0.817).

As for the total moment: 0.00 μB per formula unit.


First-principles (PBE-GGA) data for a relaxed structure of HoBr, as listed in OQMD.

The space group is P-6m2 (No. 187) and the conventional cell measures 3.5689, 3.5689 and 4.5116 Å, with angles of 90.00, 90.00 and 120.00 degrees. The distinct sites, in fractional coordinates, are Ho at (0.0000, 0.0000, 0.0000) and Br at (0.3333, 0.6667, 0.5000).

As for the total moment: 0.00 μB per formula unit.


First-principles (PBE-GGA) data for a relaxed structure of HoI2Br, as listed in OQMD.

The space group is C2/m (No. 12) and the conventional cell measures 7.575, 12.702 and 7.589 Å, with angles of 90.00, 109.24 and 90.00 degrees. The distinct sites, in fractional coordinates, are Ho at (0.000, 0.163, 0.000), I at (0.244, 0.173, 0.756) and Br at (0.206, 0.000, 0.224).

As for the total moment: 0.00 μB per formula unit.


First-principles (PBE-GGA) data for a relaxed structure of Ho4IBrN2, as listed in OQMD.

The space group is P-6m2 (No. 187) and the conventional cell measures 3.6026, 3.6026 and 14.1678 Å, with angles of 90.00, 90.00 and 120.00 degrees. The distinct sites, in fractional coordinates, are Ho at (0.0000, 0.0000, 0.1583), Ho at (0.6667, 0.3333, 0.3314), I at (0.0000, 0.0000, 0.5000), Br at (0.6667, 0.3333, 0.0000) and N at (0.3333, 0.6667, 0.2394).

As for the total moment: 0.02 μB per formula unit.


First-principles (PBE-GGA) data for a relaxed structure of Pr2Ho2IBr4N, as listed in OQMD.

The space group is C2/m (No. 12) and the conventional cell measures 17.993, 3.883 and 8.801 Å, with angles of 90.00, 103.29 and 90.00 degrees. The distinct sites, in fractional coordinates, are Pr at (0.000, 0.000, 0.194), Ho at (0.133, 0.500, 0.064), I at (0.000, 0.500, 0.500), Br at (0.170, 0.000, 0.308), Br at (0.173, 0.000, 0.853) and N at (0.000, 0.500, 0.000).

As for the total moment: 0.01 μB per formula unit.


First-principles (PBE-GGA) data for a relaxed structure of Sm2Ho2I3Br2N, as listed in OQMD.

The space group is C2/m (No. 12) and the conventional cell measures 18.374, 3.876 and 8.446 Å, with angles of 90.00, 102.41 and 90.00 degrees. The distinct sites, in fractional coordinates, are Sm at (0.134, 0.000, 0.068), Ho at (0.001, 0.500, 0.812), I at (0.000, 0.000, 0.500), I at (0.170, 0.500, 0.804), Br at (0.155, 0.500, 0.334) and N at (0.000, 0.000, 0.000).

As for the total moment: 0.00 μB per formula unit.


First-principles (PBE-GGA) data for a relaxed structure of Y2Ho2IBr4N, as listed in OQMD.

The space group is C2/m (No. 12) and the conventional cell measures 17.543, 3.785 and 8.353 Å, with angles of 90.00, 103.65 and 90.00 degrees. The distinct sites, in fractional coordinates, are Y at (0.137, 0.000, 0.069), Ho at (0.000, 0.500, 0.190), I at (0.000, 0.000, 0.500), Br at (0.165, 0.500, 0.333), Br at (0.169, 0.500, 0.830) and N at (0.000, 0.000, 0.000).

As for the total moment: 0.00 μB per formula unit.


First-principles (PBE-GGA) data for a relaxed structure of HoInBr6, as listed in OQMD.

The space group is C2 (No. 5) and the conventional cell measures 7.008, 12.192 and 7.069 Å, with angles of 90.00, 110.12 and 90.00 degrees. The distinct sites, in fractional coordinates, are Ho at (0.000, 0.000, 0.000), In at (0.000, 0.331, 0.000), Br at (0.227, 0.170, 0.240), Br at (0.235, 0.341, 0.763) and Br at (0.246, 0.984, 0.761).

As for the total moment: 0.00 μB per formula unit.


First-principles (PBE-GGA) data for a relaxed structure of NdHoBrN, as listed in OQMD.

The space group is P-6m2 (No. 187) and the conventional cell measures 3.6290, 3.6290 and 14.3634 Å, with angles of 90.00, 90.00 and 120.00 degrees. The distinct sites, in fractional coordinates, are Nd at (0.0000, 0.0000, 0.1625), Ho at (0.3333, 0.6667, 0.3422), Br at (0.0000, 0.0000, 0.5000), Br at (0.3333, 0.6667, 0.0000) and N at (0.6667, 0.3333, 0.2738).

As for the total moment: 0.00 μB per formula unit.


Taking the records one at a time from the top gives uncorrected energy values of -2.961, -1.769, -1.829, -2.292, -2.534, -2.717, -4.229, -4.207, -4.158, -3.759, -3.562, -3.717, -4.136, -3.893, -6.086, -5.065, -4.881, -5.381, -3.503, -6.276 eV per atom.